Density functional theory data (GGA-PBE) for an optimized crystal structure of KTlAsRh.

- Calculated volume: 225.22 Å³ per cell
- Energy of formation: -1.46 eV/f.u.
- SG: P4/nmm (129)

Lattice parameters (Å, degrees): 4.202 4.202 12.758 90.00 90.00 90.00
Sites, in units of the cell vectors:
K 0.250 0.250 0.239
K 0.750 0.750 0.761
Tl 0.250 0.750 0.500
Tl 0.750 0.250 0.500
As 0.250 0.250 0.897
As 0.750 0.750 0.103
Rh 0.250 0.750 0.000
Rh 0.750 0.250 0.000

Density functional theory data (GGA-PBE) for an optimized crystal structure of Li2MgSnHg2.

- Calculated volume: 120.79 Å³ per cell
- Energy of formation: -1.82 eV/f.u.
- SG: P-3m1 (164)

Lattice parameters (Å, degrees): 4.819 4.819 6.006 90.00 90.00 120.00
Sites, in units of the cell vectors:
Li 0.333 0.667 0.182
Li 0.667 0.333 0.818
Mg 0.000 0.000 0.500
Sn 0.000 0.000 0.000
Hg 0.333 0.667 0.688
Hg 0.667 0.333 0.312